No. 1
Material: KBeNi2
Method: DFT, PBE-GGA
State: relaxed

Cell: 3.277 2.684 7.703 Å, 69.76 90.00 90.00°
Positions (direct):
Ni: 0.000 0.911 0.089
Ni: 0.500 0.219 0.282
K: 0.500 0.748 0.750
Be: 0.000 0.622 0.379

Space group: No. 6
Raw total energy (eV per atom): -3.702
Crystal system: monoclinic


No. 2
Material: YCd3P
Method: DFT, PBE-GGA
State: relaxed

Cell: 5.095 5.095 5.095 Å, 90.00 90.00 90.00°
Positions (direct):
Y: 0.500 0.500 0.500
P: 0.000 0.000 0.000
Cd: 0.000 0.500 0.000
Cd: 0.000 0.000 0.500
Cd: 0.500 0.000 0.000

Space group: No. 221
Energy above the lowest structure with this stoichiometry (eV per atom): 0.0000
Crystal system: cubic


No. 3
Material: YTaAl
Method: DFT, PBE-GGA
State: relaxed

Cell: 4.836 4.836 3.216 Å, 90.00 90.00 120.00°
Positions (direct):
Y: 0.667 0.333 0.667
Al: 0.000 0.000 0.164
Ta: 0.333 0.667 0.169

Space group: No. 156
Energy above the lowest structure with this stoichiometry (eV per atom): 0.3797
Crystal system: trigonal


No. 4
Material: ThZnSi2
Method: DFT, PBE-GGA
State: relaxed

Cell: 4.212 4.356 4.356 Å, 90.00 90.00 90.00°
Positions (direct):
Zn: 0.500 0.500 0.500
Si: 0.000 0.000 0.500
Si: 0.000 0.500 0.000
Th: 0.500 0.000 0.000

Formation energy (no corrections) (eV per atom): -0.267
Space group: No. 123
Crystal system: tetragonal


No. 5
Material: CuAgCl2
Method: DFT, PBE-GGA
State: relaxed

Cell: 3.296 3.296 6.714 Å, 90.00 90.00 90.00°
Positions (direct):
Cu: 0.500 0.500 0.250
Ag: 0.500 0.500 0.750
Cl: 0.000 0.000 0.016
Cl: 0.000 0.000 0.484

Formation energy (no corrections) (eV per atom): -0.097
Space group: No. 123
Crystal system: tetragonal


No. 6
Material: TlC
Method: DFT, PBE-GGA
State: relaxed

Cell: 4.767 4.767 3.125 Å, 90.00 90.00 90.00°
Positions (direct):
Tl: 0.250 0.750 0.000
Tl: 0.750 0.250 0.000
C: 0.250 0.250 0.189
C: 0.750 0.750 0.811

Space group: No. 129
Energy above the lowest structure with this stoichiometry (eV per atom): 1.5898
Crystal system: tetragonal


No. 7
Material: MnFe2Sb
Method: DFT, PBE-GGA
State: relaxed

Cell: 8.134 8.134 8.134 Å, 21.52 21.52 21.52°
Positions (direct):
Fe: 0.993 0.993 0.993
Fe: 0.255 0.255 0.255
Mn: 0.507 0.507 0.507
Sb: 0.745 0.745 0.745

Formation energy (no corrections) (eV per atom): 0.461
Space group: No. 160
Crystal system: trigonal


No. 8
Material: RbLi2Ga2
Method: DFT, PBE-GGA
State: relaxed

Cell: 8.652 8.652 3.142 Å, 90.00 90.00 90.00°
Positions (direct):
Ga: 0.393 0.893 0.000
Ga: 0.893 0.607 0.000
Ga: 0.607 0.107 0.000
Ga: 0.107 0.393 0.000
Rb: 0.000 0.000 0.000
Rb: 0.500 0.500 0.000
Li: 0.172 0.672 0.500
Li: 0.672 0.828 0.500
Li: 0.828 0.328 0.500
Li: 0.328 0.172 0.500

Space group: No. 127
Energy above the lowest structure with this stoichiometry (eV per atom): 0.0157
Crystal system: tetragonal